# 1
DFT (PBE) results for a relaxed structure of Gd3PdN.

As for the formation energy from raw total energies: -0.85 eV/atom. The final energy is -12.0059 eV per atom. As for the crystal system: cubic. Its space group is Pm-3m, No. 221.

a b c (Å): 4.8068 4.8068 4.8068
angles (deg): 90.00 90.00 90.00
Sites, in units of the cell vectors:
Gd 0.0000 0.5000 0.0000
Gd 0.0000 0.0000 0.5000
Gd 0.5000 0.0000 0.0000
Pd 0.5000 0.5000 0.5000
N 0.0000 0.0000 0.0000

# 2
DFT (PBE) results for a relaxed structure of Pm2GdN.

As for the formation energy from raw total energies: -0.64 eV/atom. The final energy is -8.6212 eV per atom. As for the crystal system: trigonal. Its space group is R-3m, No. 166.

a b c (Å): 3.5960 3.5960 9.5066
angles (deg): 79.10 79.10 60.00
Sites, in units of the cell vectors:
N 0.0000 0.0000 0.0000
Gd 0.5000 0.5000 0.5000
Pm 0.7171 0.7171 0.8488
Pm 0.2829 0.2829 0.1512

# 3
DFT (PBE) results for a relaxed structure of PmGd2N.

As for the formation energy from raw total energies: -0.73 eV/atom. The final energy is -11.0360 eV per atom. As for the crystal system: trigonal. Its space group is R-3m, No. 166.

a b c (Å): 3.5388 3.5388 9.4803
angles (deg): 79.24 79.24 60.00
Sites, in units of the cell vectors:
N 0.0000 0.0000 0.0000
Gd 0.7163 0.7163 0.8510
Gd 0.2837 0.2837 0.1490
Pm 0.5000 0.5000 0.5000

Q: Among the records above, which one has the highest final energy?
A: Pm2GdN